Entry 1:
TbCeAu2: optimized geometry, PBE.

Summary:
Density of states at the Fermi level (states/eV per cell): 26.95
Energy of formation from the pure elements (eV per atom): -0.594

Cell lengths 4.1029, 4.1029, 22.5960 Å; angles 90.00, 90.00, 120.00 degrees
Space group R-3m (No. 166, hexagonal axes)
Symmetry-distinct sites (fractional):
Tb 0.0000 0.0000 0.0000 x3
Ce 0.0000 0.0000 0.5000 x3
Au 0.0000 0.0000 0.2527 x6

Entry 2:
TbCeAu: optimized geometry, PBE.

Summary:
Density of states at the Fermi level (states/eV per cell): 6.68
Energy of formation from the pure elements (eV per atom): -0.288

Cell lengths 4.9452, 4.9452, 3.7200 Å; angles 90.00, 90.00, 120.00 degrees
Space group P3m1 (No. 156)
Symmetry-distinct sites (fractional):
Tb 0.0000 0.0000 0.0000 x1
Ce 0.3333 0.6667 0.4171 x1
Au 0.6667 0.3333 0.7578 x1